1.
DFT (PBE-GGA) results for a relaxed Zr2SnIr2 crystal.

* energy of formation: -504 meV/atom
* space-group type: I4/mmm
* calculated volume: 110 Å³ per cell

Cell: 4.552 4.552 6.205 Å, 68.48 68.48 90.00°
Fractional positions:
Ir: 0.382 0.382 0.237
Ir: 0.618 0.618 0.763
Sn: 0.000 0.000 0.000
Zr: 0.750 0.250 0.500
Zr: 0.250 0.750 0.500

=====

2.
DFT (PBE-GGA) results for a relaxed Zr6SnIr crystal.

* energy of formation: -392 meV/atom
* space-group type: P-1
* calculated volume: 168 Å³ per cell

Cell: 7.805 7.785 5.522 Å, 45.18 45.04 60.06°
Fractional positions:
Zr: 0.001 0.497 0.744
Zr: 0.758 0.000 0.744
Zr: 0.502 0.242 0.255
Zr: 0.242 0.000 0.256
Zr: 0.999 0.503 0.256
Zr: 0.498 0.758 0.745
Sn: 0.500 0.500 0.500
Ir: 0.000 0.000 0.000

=====

3.
DFT (PBE-GGA) results for a relaxed ZrSnIr3 crystal.

* energy of formation: 1317 meV/atom
* space-group type: Pm-3m
* relative energy among the computed polymorphs: 123 meV per atom
* calculated volume: 118 Å³ per cell

Cell: 4.911 4.911 4.911 Å, 90.00 90.00 90.00°
Fractional positions:
Ir: 0.000 0.500 0.000
Ir: 0.000 0.000 0.500
Ir: 0.500 0.000 0.000
Sn: 0.500 0.500 0.500
Zr: 0.000 0.000 0.000

=====

4.
DFT (PBE-GGA) results for a relaxed ZrSnIr crystal.

* energy of formation: -434 meV/atom
* space-group type: I4mm
* calculated volume: 58 Å³ per cell

Cell: 3.263 3.263 5.942 Å, 105.94 105.94 90.00°
Fractional positions:
Ir: 0.952 0.952 0.904
Sn: 0.297 0.297 0.593
Zr: 0.601 0.601 0.202

=====

5.
DFT (PBE-GGA) results for a relaxed ZrSnIr crystal.

* energy of formation: -742 meV/atom
* space-group type: P-62c
* calculated volume: 351 Å³ per cell

Cell: 7.405 7.405 7.390 Å, 90.00 90.00 120.00°
Fractional positions:
Zr: 0.405 0.020 0.250
Zr: 0.595 0.615 0.750
Zr: 0.615 0.595 0.250
Zr: 0.980 0.385 0.250
Zr: 0.020 0.405 0.750
Zr: 0.385 0.980 0.750
Sn: 0.271 0.271 0.500
Sn: 0.271 0.271 0.000
Sn: 0.729 0.000 0.000
Sn: 0.000 0.729 0.500
Sn: 0.729 0.000 0.500
Sn: 0.000 0.729 0.000
Ir: 0.667 0.333 0.540
Ir: 0.667 0.333 0.960
Ir: 0.333 0.667 0.040
Ir: 0.333 0.667 0.460
Ir: 0.000 0.000 0.750
Ir: 0.000 0.000 0.250

=====

6.
DFT (PBE-GGA) results for a relaxed ZrSn3Ir crystal.

* energy of formation: 491 meV/atom
* space-group type: Pm-3m
* relative energy among the computed polymorphs: 0 meV per atom
* calculated volume: 135 Å³ per cell

Cell: 5.127 5.127 5.127 Å, 90.00 90.00 90.00°
Fractional positions:
Ir: 0.000 0.000 0.000
Sn: 0.000 0.500 0.000
Sn: 0.000 0.000 0.500
Sn: 0.500 0.000 0.000
Zr: 0.500 0.500 0.500

=====

7.
DFT (PBE-GGA) results for a relaxed ZrSnIr crystal.

* energy of formation: -728 meV/atom
* space-group type: P-62m
* calculated volume: 176 Å³ per cell

Cell: 7.379 7.379 3.735 Å, 90.00 90.00 120.00°
Fractional positions:
Zr: 0.000 0.605 0.500
Zr: 0.395 0.395 0.500
Zr: 0.605 0.000 0.500
Sn: 0.267 0.000 0.000
Sn: 0.733 0.733 0.000
Sn: 0.000 0.267 0.000
Ir: 0.667 0.333 0.000
Ir: 0.333 0.667 0.000
Ir: 0.000 0.000 0.500

=====

8.
DFT (PBE-GGA) results for a relaxed ZrSn3Ir crystal.

* energy of formation: 1282 meV/atom
* space-group type: Pm-3m
* relative energy among the computed polymorphs: 791 meV per atom
* calculated volume: 161 Å³ per cell

Cell: 5.443 5.443 5.443 Å, 90.00 90.00 90.00°
Fractional positions:
Ir: 0.500 0.500 0.500
Sn: 0.000 0.500 0.000
Sn: 0.000 0.000 0.500
Sn: 0.500 0.000 0.000
Zr: 0.000 0.000 0.000

=====

9.
DFT (PBE-GGA) results for a relaxed ZrSnIr3 crystal.

* energy of formation: 1194 meV/atom
* space-group type: Pm-3m
* relative energy among the computed polymorphs: 0 meV per atom
* calculated volume: 110 Å³ per cell

Cell: 4.793 4.793 4.793 Å, 90.00 90.00 90.00°
Fractional positions:
Ir: 0.000 0.500 0.000
Ir: 0.000 0.000 0.500
Ir: 0.500 0.000 0.000
Sn: 0.000 0.000 0.000
Zr: 0.500 0.500 0.500

=====

10.
DFT (PBE-GGA) results for a relaxed Zr12Sn6Ir crystal.

* energy of formation: -119 meV/atom
* space-group type: R-3
* calculated volume: 478 Å³ per cell

Cell: 7.939 7.939 7.939 Å, 99.37 99.37 99.37°
Fractional positions:
Zr: 0.792 0.588 0.472
Zr: 0.472 0.792 0.588
Zr: 0.588 0.472 0.792
Zr: 0.208 0.412 0.528
Zr: 0.528 0.208 0.412
Zr: 0.412 0.528 0.208
Zr: 0.070 0.025 0.332
Zr: 0.975 0.668 0.930
Zr: 0.668 0.930 0.975
Zr: 0.930 0.975 0.668
Zr: 0.025 0.332 0.070
Zr: 0.332 0.070 0.025
Sn: 0.674 0.884 0.328
Sn: 0.672 0.326 0.116
Sn: 0.116 0.672 0.326
Sn: 0.326 0.116 0.672
Sn: 0.328 0.674 0.884
Sn: 0.884 0.328 0.674
Ir: 0.000 0.000 0.000

=====

11.
DFT (PBE-GGA) results for a relaxed SrIr3 crystal.

* energy of formation: -65 meV/atom
* space-group type: Pmmn
* calculated volume: 187 Å³ per cell

Cell: 4.363 5.653 7.586 Å, 90.00 90.00 90.00°
Fractional positions:
Sr: 0.000 0.595 0.000
Sr: 0.500 0.405 0.500
Ir: 0.500 0.061 0.000
Ir: 0.000 0.939 0.500
Ir: 0.000 0.089 0.183
Ir: 0.000 0.089 0.817
Ir: 0.500 0.911 0.683
Ir: 0.500 0.911 0.317

=====

12.
DFT (PBE-GGA) results for a relaxed Sr4Ir crystal.

* energy of formation: -101 meV/atom
* space-group type: Pm-3m
* relative energy among the computed polymorphs: 89 meV per atom
* calculated volume: 215 Å³ per cell

Cell: 5.986 5.986 5.986 Å, 90.00 90.00 90.00°
Fractional positions:
Sr: 0.000 0.000 0.000
Sr: 0.500 0.000 0.500
Sr: 0.000 0.500 0.500
Sr: 0.500 0.500 0.000
Ir: 0.500 0.500 0.500

=====

13.
DFT (PBE-GGA) results for a relaxed Sr8Ir crystal.

* energy of formation: 82 meV/atom
* space-group type: I4/mmm
* calculated volume: 428 Å³ per cell

Cell: 10.363 10.363 10.363 Å, 92.29 92.29 156.92°
Fractional positions:
Sr: 0.375 0.625 0.000
Sr: 0.625 0.375 0.000
Sr: 0.000 0.334 0.334
Sr: 0.625 0.625 0.249
Sr: 0.334 0.000 0.334
Sr: 0.375 0.375 0.751
Sr: 0.000 0.666 0.666
Sr: 0.666 0.000 0.666
Ir: 0.000 0.000 0.000

=====

14.
DFT (PBE-GGA) results for a relaxed SrIr3 crystal.

* energy of formation: 929 meV/atom
* space-group type: Pm-3n
* calculated volume: 149 Å³ per cell

Cell: 5.297 5.297 5.297 Å, 90.00 90.00 90.00°
Fractional positions:
Sr: 0.000 0.000 0.000
Sr: 0.500 0.500 0.500
Ir: 0.750 0.500 0.000
Ir: 0.250 0.500 0.000
Ir: 0.000 0.750 0.500
Ir: 0.000 0.250 0.500
Ir: 0.500 0.000 0.250
Ir: 0.500 0.000 0.750

=====

15.
DFT (PBE-GGA) results for a relaxed Sr6Ir crystal.

* energy of formation: -157 meV/atom
* space-group type: Pnma
* calculated volume: 1334 Å³ per cell

Cell: 7.397 12.834 14.057 Å, 90.00 90.00 90.00°
Fractional positions:
Sr: 0.767 0.250 0.502
Sr: 0.233 0.750 0.498
Sr: 0.267 0.750 0.998
Sr: 0.733 0.250 0.002
Sr: 0.404 0.250 0.748
Sr: 0.596 0.750 0.252
Sr: 0.904 0.750 0.752
Sr: 0.096 0.250 0.248
Sr: 0.250 0.412 0.507
Sr: 0.750 0.588 0.493
Sr: 0.750 0.588 0.993
Sr: 0.750 0.912 0.493
Sr: 0.250 0.412 0.007
Sr: 0.250 0.088 0.507
Sr: 0.250 0.088 0.007
Sr: 0.750 0.912 0.993
Sr: 0.920 0.411 0.744
Sr: 0.080 0.589 0.256
Sr: 0.420 0.589 0.756
Sr: 0.080 0.911 0.256
Sr: 0.580 0.411 0.244
Sr: 0.920 0.089 0.744
Sr: 0.580 0.089 0.244
Sr: 0.420 0.911 0.756
Ir: 0.086 0.250 0.625
Ir: 0.914 0.750 0.375
Ir: 0.586 0.750 0.875
Ir: 0.414 0.250 0.125

=====

16.
DFT (PBE-GGA) results for a relaxed SrIr3 crystal.

* energy of formation: 544 meV/atom
* space-group type: I4/mmm
* calculated volume: 71 Å³ per cell

Cell: 5.050 5.050 5.050 Å, 131.46 131.46 71.08°
Fractional positions:
Ir: 0.250 0.750 0.500
Ir: 0.500 0.500 0.000
Ir: 0.750 0.250 0.500
Sr: 0.000 0.000 0.000

=====

17.
DFT (PBE-GGA) results for a relaxed Sr2Ir crystal.

* energy of formation: -91 meV/atom
* space-group type: Fm-3m
* calculated volume: 96 Å³ per cell

Cell: 5.138 5.138 5.138 Å, 60.00 60.00 60.00°
Fractional positions:
Sr: 0.750 0.750 0.750
Sr: 0.250 0.250 0.250
Ir: 0.000 0.000 0.000

=====

18.
DFT (PBE-GGA) results for a relaxed Sr2Ir3 crystal.

* energy of formation: 197 meV/atom
* space-group type: R-3m
* calculated volume: 132 Å³ per cell

Cell: 9.007 9.007 9.007 Å, 26.87 26.87 26.87°
Fractional positions:
Sr: 0.407 0.407 0.407
Sr: 0.593 0.593 0.593
Ir: 0.000 0.000 0.000
Ir: 0.833 0.833 0.833
Ir: 0.167 0.167 0.167

=====

19.
DFT (PBE-GGA) results for a relaxed SrIr3 crystal.

* energy of formation: 353 meV/atom
* space-group type: Immm
* calculated volume: 72 Å³ per cell

Cell: 5.912 5.912 5.912 Å, 152.18 131.15 57.15°
Fractional positions:
Ir: 0.219 0.219 0.000
Ir: 0.781 0.781 0.000
Ir: 0.000 0.500 0.500
Sr: 0.500 0.000 0.500

=====

20.
DFT (PBE-GGA) results for a relaxed SrIr3 crystal.

* energy of formation: 124 meV/atom
* space-group type: Cmcm
* calculated volume: 162 Å³ per cell

Cell: 7.421 7.421 4.122 Å, 90.00 90.00 134.39°
Fractional positions:
Sr: 0.723 0.277 0.750
Sr: 0.277 0.723 0.250
Ir: 0.088 0.912 0.750
Ir: 0.912 0.088 0.250
Ir: 0.647 0.775 0.750
Ir: 0.353 0.225 0.250
Ir: 0.775 0.647 0.250
Ir: 0.225 0.353 0.750

=====

21.
DFT (PBE-GGA) results for a relaxed Sr2Ir crystal.

* energy of formation: -37 meV/atom
* space-group type: Cmc2_1
* calculated volume: 185 Å³ per cell

Cell: 6.272 6.272 7.166 Å, 90.00 90.00 139.08°
Fractional positions:
Sr: 0.000 0.000 0.722
Sr: 0.000 0.000 0.222
Sr: 0.717 0.283 0.473
Sr: 0.283 0.717 0.973
Ir: 0.604 0.396 0.972
Ir: 0.396 0.604 0.472

=====

22.
DFT (PBE-GGA) results for a relaxed SrIr3 crystal.

* energy of formation: 485 meV/atom
* space-group type: P6_3/mmc
* calculated volume: 293 Å³ per cell

Cell: 6.005 6.005 9.391 Å, 90.00 90.00 120.00°
Fractional positions:
Sr: 0.000 0.000 0.000
Sr: 0.000 0.000 0.500
Sr: 0.333 0.667 0.250
Sr: 0.667 0.333 0.750
Ir: 0.500 0.000 0.000
Ir: 0.500 0.000 0.500
Ir: 0.000 0.500 0.000
Ir: 0.500 0.500 0.000
Ir: 0.500 0.500 0.500
Ir: 0.000 0.500 0.500
Ir: 0.811 0.622 0.250
Ir: 0.189 0.378 0.750
Ir: 0.378 0.189 0.250
Ir: 0.811 0.189 0.250
Ir: 0.189 0.811 0.750
Ir: 0.622 0.811 0.750

=====

23.
DFT (PBE-GGA) results for a relaxed SrIr3 crystal.

* energy of formation: 301 meV/atom
* space-group type: Pmm2
* calculated volume: 75 Å³ per cell

Cell: 2.832 4.495 5.919 Å, 90.00 90.00 90.00°
Fractional positions:
Ir: 0.000 0.000 0.941
Ir: 0.500 0.000 0.575
Ir: 0.500 0.500 0.831
Sr: 0.000 0.500 0.319

=====

24.
DFT (PBE-GGA) results for a relaxed Sr5Ir crystal.

* energy of formation: 29 meV/atom
* space-group type: P4/mmm
* relative energy among the computed polymorphs: 129 meV per atom
* calculated volume: 250 Å³ per cell

Cell: 3.866 3.866 16.752 Å, 90.00 90.00 90.00°
Fractional positions:
Sr: 0.000 0.000 0.901
Sr: 0.000 0.000 0.099
Sr: 0.500 0.500 0.695
Sr: 0.500 0.500 0.305
Sr: 0.000 0.000 0.500
Ir: 0.500 0.500 0.000

=====

25.
DFT (PBE-GGA) results for a relaxed SrIr3 crystal.

* energy of formation: 384 meV/atom
* space-group type: P2/m
* calculated volume: 74 Å³ per cell

Cell: 4.641 2.861 5.723 Å, 77.93 90.00 90.00°
Fractional positions:
Ir: 0.000 0.913 0.945
Ir: 0.500 0.750 0.750
Ir: 0.000 0.587 0.555
Sr: 0.500 0.250 0.250